# 1
# SrTi4P6O24 (SCAN, PBEsol geometry)
data_SrTi4P6O24
_space_group_name_H-M_alt 'R -3'
_space_group_IT_number 148
_space_group_name_Hall '-R 3'
_cell_length_a 8.3762
_cell_length_b 8.3762
_cell_length_c 22.6075
_cell_angle_alpha 90.00
_cell_angle_beta 90.00
_cell_angle_gamma 120.00
loop_
_atom_site_label
_atom_site_type_symbol
_atom_site_fract_x
_atom_site_fract_y
_atom_site_fract_z
Sr1 Sr 0.0000 0.0000 0.0000
Ti1 Ti 0.0000 0.0000 0.1489
Ti2 Ti 0.0000 0.0000 0.3556
P1 P 0.0036 0.7182 0.7482
O1 O 0.0092 0.8241 0.0904
O2 O 0.0136 0.1942 0.1940
O3 O 0.0673 0.8517 0.4012
O4 O 0.0725 0.8562 0.6967
# Uncorrected energy, eV/atom: -11.426
# M_tot, μB/cell: 0.000
# Uncorrected formation energy, meV per atom: -2902
# ρ, g cm⁻³: 3.08


# 2
# ReIr2Pt (SCAN, PBEsol geometry)
data_ReIr2Pt
_space_group_name_H-M_alt 'R -3 m'
_space_group_IT_number 166
_space_group_name_Hall '-R 3 2"'
_cell_length_a 2.7250
_cell_length_b 2.7250
_cell_length_c 26.9447
_cell_angle_alpha 90.00
_cell_angle_beta 90.00
_cell_angle_gamma 120.00
loop_
_atom_site_label
_atom_site_type_symbol
_atom_site_fract_x
_atom_site_fract_y
_atom_site_fract_z
Re1 Re 0.0000 0.0000 0.0000
Ir1 Ir 0.0000 0.0000 0.2531
Pt1 Pt 0.0000 0.0000 0.5000
# Energy above the lowest structure with this stoichiometry, meV/atom: 34
# Uncorrected energy, eV/atom: -70.981
# M_tot, μB/cell: 0.000
# Formation energy, eV per atom: -0.108
# ρ, g cm⁻³: 22.01


# 3
# SiMoCl2 (SCAN, PBEsol geometry)
data_SiMoCl2
_space_group_name_H-M_alt 'C m m 2'
_space_group_IT_number 35
_space_group_name_Hall 'C 2 -2'
_cell_length_a 2.946
_cell_length_b 5.655
_cell_length_c 8.950
_cell_angle_alpha 90.00
_cell_angle_beta 90.00
_cell_angle_gamma 90.00
loop_
_atom_site_label
_atom_site_type_symbol
_atom_site_fract_x
_atom_site_fract_y
_atom_site_fract_z
Si1 Si 0.000 0.000 0.000
Mo1 Mo 0.000 0.500 0.777
Cl1 Cl 0.000 0.000 0.571
Cl2 Cl 0.000 0.500 0.207
# Energy above the lowest structure with this stoichiometry, meV/atom: 246
# Uncorrected energy, eV/atom: -15.157
# M_tot, μB/cell: 0.000
# Uncorrected formation energy, meV per atom: 57
# ρ, g cm⁻³: 4.34


# 4
# Mn2TlIn (SCAN, PBEsol geometry)
data_Mn2TlIn
_space_group_name_H-M_alt 'F -4 3 m'
_space_group_IT_number 216
_space_group_name_Hall 'F -4 2 3'
_cell_length_a 6.653
_cell_length_b 6.653
_cell_length_c 6.653
_cell_angle_alpha 90.00
_cell_angle_beta 90.00
_cell_angle_gamma 90.00
loop_
_atom_site_label
_atom_site_type_symbol
_atom_site_fract_x
_atom_site_fract_y
_atom_site_fract_z
Mn1 Mn 0.000 0.000 0.000
Mn2 Mn 0.250 0.250 0.250
Tl1 Tl 0.000 0.000 0.500
In1 In 0.250 0.250 0.750
# Energy above the lowest structure with this stoichiometry, meV/atom: 279
# Uncorrected energy, eV/atom: -35.176
# M_tot, μB/cell: 30.917
# Formation energy, eV per atom: 0.388
# ρ, g cm⁻³: 9.68


# 5
# AlNi2Au (SCAN, PBEsol geometry)
data_AlNi2Au
_space_group_name_H-M_alt 'C 1 m 1'
_space_group_IT_number 8
_space_group_name_Hall 'C -2y'
_cell_length_a 8.596
_cell_length_b 2.812
_cell_length_c 4.373
_cell_angle_alpha 90.00
_cell_angle_beta 104.30
_cell_angle_gamma 90.00
loop_
_atom_site_label
_atom_site_type_symbol
_atom_site_fract_x
_atom_site_fract_y
_atom_site_fract_z
Al1 Al 0.000 0.000 0.000
Ni1 Ni 0.239 0.500 0.226
Ni2 Ni 0.484 0.000 0.459
Au1 Au 0.243 0.000 0.722
# Uncorrected energy, eV/atom: -27.619
# M_tot, μB/cell: 0.000
# Formation energy, eV per atom: -0.305
# ρ, g cm⁻³: 11.07


# 6
# MgSc2P (SCAN, PBEsol geometry)
data_MgSc2P
_space_group_name_H-M_alt 'I -4 2 d'
_space_group_IT_number 122
_space_group_name_Hall 'I -4 2bw'
_cell_length_a 7.551
_cell_length_b 7.551
_cell_length_c 5.987
_cell_angle_alpha 90.00
_cell_angle_beta 90.00
_cell_angle_gamma 90.00
loop_
_atom_site_label
_atom_site_type_symbol
_atom_site_fract_x
_atom_site_fract_y
_atom_site_fract_z
Mg1 Mg 0.000 0.000 0.000
Sc1 Sc 0.200 0.750 0.625
P1 P 0.000 0.000 0.500
# Energy above the lowest structure with this stoichiometry, meV/atom: 257
# Uncorrected energy, eV/atom: -11.355
# M_tot, μB/cell: 0.000
# Formation energy, eV per atom: -0.393
# ρ, g cm⁻³: 2.82


# 7
# ZrSbPb (SCAN, PBEsol geometry)
data_ZrSbPb
_space_group_name_H-M_alt 'I 4 m m'
_space_group_IT_number 107
_space_group_name_Hall 'I 4 -2'
_cell_length_a 3.764
_cell_length_b 3.764
_cell_length_c 9.922
_cell_angle_alpha 90.00
_cell_angle_beta 90.00
_cell_angle_gamma 90.00
loop_
_atom_site_label
_atom_site_type_symbol
_atom_site_fract_x
_atom_site_fract_y
_atom_site_fract_z
Zr1 Zr 0.000 0.000 0.000
Sb1 Sb 0.000 0.000 0.638
Pb1 Pb 0.000 0.000 0.324
# Energy above the lowest structure with this stoichiometry, meV/atom: 0
# Uncorrected energy, eV/atom: -48.318
# M_tot, μB/cell: 0.000
# Uncorrected formation energy, meV per atom: -405
# ρ, g cm⁻³: 9.93


# 8
# LaSc2TaCr (SCAN, PBEsol geometry)
data_LaSc2TaCr
_space_group_name_H-M_alt 'P 4/m m m'
_space_group_IT_number 123
_space_group_name_Hall '-P 4 2'
_cell_length_a 4.753
_cell_length_b 4.753
_cell_length_c 5.004
_cell_angle_alpha 90.00
_cell_angle_beta 90.00
_cell_angle_gamma 90.00
loop_
_atom_site_label
_atom_site_type_symbol
_atom_site_fract_x
_atom_site_fract_y
_atom_site_fract_z
La1 La 0.000 0.000 0.000
Sc1 Sc 0.000 0.500 0.500
Ta1 Ta 0.500 0.500 0.000
Cr1 Cr 0.000 0.000 0.500
# Uncorrected energy, eV/atom: -30.251
# M_tot, μB/cell: 0.729
# Formation energy, eV per atom: 1.059
# ρ, g cm⁻³: 6.78


# 9
# PBr (SCAN, PBEsol geometry)
data_PBr
_space_group_name_H-M_alt 'P 4/n m m'
_space_group_IT_number 129
_cell_length_a 2.971
_cell_length_b 2.971
_cell_length_c 10.278
_cell_angle_alpha 90.00
_cell_angle_beta 90.00
_cell_angle_gamma 90.00
loop_
_space_group_symop_operation_xyz
'x,y,z'
'-x,-y,-z'
'-y+1/2,x,z'
'y+1/2,-x,-z'
'-x+1/2,-y+1/2,z'
'x+1/2,y+1/2,-z'
'y,-x+1/2,z'
'-y,x+1/2,-z'
'x+1/2,-y,-z'
'-x+1/2,y,z'
'-y,-x,-z'
'y,x,z'
'-x,y+1/2,-z'
'x,-y+1/2,z'
'y+1/2,x+1/2,-z'
'-y+1/2,-x+1/2,z'
loop_
_atom_site_label
_atom_site_type_symbol
_atom_site_fract_x
_atom_site_fract_y
_atom_site_fract_z
P1 P 0.250 0.250 0.045
Br1 Br 0.250 0.250 0.670
# Energy above the lowest structure with this stoichiometry, meV/atom: 309
# Uncorrected energy, eV/atom: -14.485
# M_tot, μB/cell: 0.000
# Uncorrected formation energy, meV per atom: 444
# ρ, g cm⁻³: 4.06


# 10
# LiZn2Ag (SCAN, PBEsol geometry)
data_LiZn2Ag
_space_group_name_H-M_alt 'P 1 m 1'
_space_group_IT_number 6
_space_group_name_Hall 'P -2y'
_cell_length_a 2.719
_cell_length_b 4.321
_cell_length_c 5.070
_cell_angle_alpha 90.00
_cell_angle_beta 99.01
_cell_angle_gamma 90.00
loop_
_atom_site_label
_atom_site_type_symbol
_atom_site_fract_x
_atom_site_fract_y
_atom_site_fract_z
Li1 Li 0.000 0.000 0.000
Zn1 Zn 0.606 0.000 0.488
Zn2 Zn 0.639 0.500 0.217
Ag1 Ag 0.225 0.500 0.713
# Uncorrected energy, eV/atom: -15.327
# M_tot, μB/cell: 0.000
# Formation energy, eV per atom: -0.130
# ρ, g cm⁻³: 6.93


# 11
# ScPt4Cl (SCAN, PBEsol geometry)
data_ScPt4Cl
_space_group_name_H-M_alt 'F -4 3 m'
_space_group_IT_number 216
_space_group_name_Hall 'F -4 2 3'
_cell_length_a 7.428
_cell_length_b 7.428
_cell_length_c 7.428
_cell_angle_alpha 90.00
_cell_angle_beta 90.00
_cell_angle_gamma 90.00
loop_
_atom_site_label
_atom_site_type_symbol
_atom_site_fract_x
_atom_site_fract_y
_atom_site_fract_z
Sc1 Sc 0.000 0.000 0.000
Pt1 Pt 0.125 0.125 0.625
Cl1 Cl 0.250 0.250 0.250
# Uncorrected energy, eV/atom: -51.006
# M_tot, μB/cell: 0.000
# Uncorrected formation energy, meV per atom: -508
# ρ, g cm⁻³: 13.95


# 12
# SrMgTlCr2 (SCAN, PBEsol geometry)
data_SrMgTlCr2
_space_group_name_H-M_alt 'P 4/m m m'
_space_group_IT_number 123
_space_group_name_Hall '-P 4 2'
_cell_length_a 5.120
_cell_length_b 5.120
_cell_length_c 5.941
_cell_angle_alpha 90.00
_cell_angle_beta 90.00
_cell_angle_gamma 90.00
loop_
_atom_site_label
_atom_site_type_symbol
_atom_site_fract_x
_atom_site_fract_y
_atom_site_fract_z
Sr1 Sr 0.000 0.000 0.000
Mg1 Mg 0.000 0.000 0.500
Tl1 Tl 0.500 0.500 0.000
Cr1 Cr 0.000 0.500 0.500
# Uncorrected energy, eV/atom: -26.448
# M_tot, μB/cell: 9.632
# Formation energy, eV per atom: 0.827
# ρ, g cm⁻³: 4.48